(1)
VASP calculation (PBE) on a geometry-optimized Pu6Te3PSe2 structure.

a b c (Å): 7.388 7.388 7.451
angles (deg): 99.52 99.52 119.99
Fractional coordinates of all 12 atoms:
Pu: 0.074 0.396 0.222
Pu: 0.247 0.247 0.775
Pu: 0.396 0.074 0.222
Pu: 0.604 0.926 0.778
Pu: 0.753 0.753 0.225
Pu: 0.926 0.604 0.778
Te: 0.171 0.829 0.500
Te: 0.500 0.500 0.500
Te: 0.829 0.171 0.500
P: 0.000 0.000 0.000
Se: 0.334 0.666 0.000
Se: 0.666 0.334 0.000

- space group = C2/m, No. 12
- ΔE_f (raw) (kJ per mole of atoms) = -121
- electronic total energy (eV per atom) = -10.239

---

(2)
VASP calculation (PBE) on a geometry-optimized Pu3SiP structure.

a b c (Å): 6.397 7.788 8.228
angles (deg): 89.93 89.99 89.95
Fractional coordinates of all 20 atoms:
Pu: 0.239 0.111 0.088
Pu: 0.243 0.400 0.682
Pu: 0.249 0.435 0.068
Pu: 0.251 0.934 0.432
Pu: 0.256 0.901 0.818
Pu: 0.261 0.610 0.412
Pu: 0.739 0.390 0.588
Pu: 0.744 0.099 0.182
Pu: 0.749 0.066 0.568
Pu: 0.751 0.565 0.932
Pu: 0.757 0.600 0.318
Pu: 0.761 0.889 0.912
Si: 0.051 0.288 0.366
Si: 0.449 0.788 0.134
Si: 0.551 0.212 0.866
Si: 0.949 0.712 0.634
P: 0.062 0.786 0.136
P: 0.438 0.286 0.364
P: 0.562 0.714 0.636
P: 0.938 0.214 0.864

- space group = P-1, No. 2
- ΔE_f (raw) (kJ per mole of atoms) = -49
- electronic total energy (eV per atom) = -11.270

---

(3)
VASP calculation (PBE) on a geometry-optimized Pu3SiP2 structure.

a b c (Å): 11.504 3.990 10.521
angles (deg): 90.00 90.00 90.00
Fractional coordinates of all 24 atoms:
Pu: 0.047 0.250 0.110
Pu: 0.118 0.750 0.564
Pu: 0.214 0.250 0.779
Pu: 0.286 0.750 0.279
Pu: 0.382 0.250 0.064
Pu: 0.453 0.750 0.610
Pu: 0.547 0.250 0.390
Pu: 0.618 0.750 0.936
Pu: 0.714 0.250 0.721
Pu: 0.786 0.750 0.221
Pu: 0.882 0.250 0.436
Pu: 0.953 0.750 0.890
Si: 0.129 0.250 0.369
Si: 0.371 0.750 0.869
Si: 0.629 0.250 0.131
Si: 0.871 0.750 0.631
P: 0.020 0.750 0.304
P: 0.198 0.750 0.003
P: 0.302 0.250 0.503
P: 0.480 0.250 0.804
P: 0.520 0.750 0.196
P: 0.698 0.750 0.497
P: 0.802 0.250 0.997
P: 0.980 0.250 0.696

- space group = Pnma, No. 62
- ΔE_f (raw) (kJ per mole of atoms) = -62
- electronic total energy (eV per atom) = -10.516

---

(4)
VASP calculation (PBE) on a geometry-optimized SmPu2P3 structure.

a b c (Å): 6.975 6.975 6.975
angles (deg): 146.39 131.79 60.05
Fractional coordinates of all 6 atoms:
Sm: 0.000 0.000 0.000
Pu: 0.335 0.335 0.000
Pu: 0.665 0.665 0.000
P: 0.174 0.674 0.500
P: 0.500 0.000 0.500
P: 0.826 0.326 0.500

- space group = Immm, No. 71
- energy relative to the elements (eV/atom) = -1.2891
- electronic total energy (eV per atom) = -9.558